1.
Below is an optimized crystal structure of Tb5Nd2Ho4, with properties calculated at the PBE level.

Summary:
- ΔH_f (0 K) (kJ/mol of formula units) = 211
- crystal system = orthorhombic
- ΔE to the lowest computed polymorph (meV per atom) = 147
- DFT total energy (eV per atom) = -4.44

abc: 3.498 9.047 23.300
angles: 90.00 90.00 90.00
Space group Immm (No. 71)
Asymmetric unit:
Tb  0.000  0.000  0.000 (multiplicity 2)
Tb  0.000  0.304  0.358 (multiplicity 8)
Nd  0.000  0.500  0.232 (multiplicity 4)
Ho  0.000  0.189  0.500 (multiplicity 4)
Ho  0.000  0.500  0.097 (multiplicity 4)

2.
Below is an optimized crystal structure of TbNd2Ho, with properties calculated at the PBE level.

Summary:
- ΔH_f (0 K) (kJ/mol of formula units) = 45
- crystal system = cubic
- ΔE to the lowest computed polymorph (meV per atom) = 106
- DFT total energy (eV per atom) = -4.57

abc: 8.123 8.123 8.123
angles: 90.00 90.00 90.00
Space group Fm-3m (No. 225)
Asymmetric unit:
Tb  0.000  0.000  0.000 (multiplicity 4)
Nd  0.250  0.250  0.250 (multiplicity 8)
Ho  0.000  0.000  0.500 (multiplicity 4)

3.
Below is an optimized crystal structure of Tb12Nd2Ho5, with properties calculated at the PBE level.

Summary:
- ΔH_f (0 K) (kJ/mol of formula units) = 243
- crystal system = monoclinic
- ΔE to the lowest computed polymorph (meV per atom) = 45
- DFT total energy (eV per atom) = -4.50

abc: 15.782 9.232 8.557
angles: 90.00 91.04 90.00
Space group C2/m (No. 12)
Asymmetric unit:
Tb  0.059  0.000  0.332 (multiplicity 4)
Tb  0.093  0.500  0.882 (multiplicity 4)
Tb  0.126  0.192  0.656 (multiplicity 8)
Tb  0.156  0.319  0.243 (multiplicity 8)
Nd  0.000  0.182  0.000 (multiplicity 4)
Ho  0.000  0.500  0.500 (multiplicity 2)
Ho  0.198  0.000  0.011 (multiplicity 4)
Ho  0.231  0.500  0.574 (multiplicity 4)

4.
Below is an optimized crystal structure of Tb2Nd5Ho3, with properties calculated at the PBE level.

Summary:
- ΔH_f (0 K) (kJ/mol of formula units) = 175
- crystal system = monoclinic
- ΔE to the lowest computed polymorph (meV per atom) = 0
- DFT total energy (eV per atom) = -4.50

abc: 10.744 14.903 10.048
angles: 90.00 122.31 90.00
Space group C2/c (No. 15)
Asymmetric unit:
Tb  0.153  0.128  0.058 (multiplicity 8)
Nd  0.000  0.019  0.250 (multiplicity 4)
Nd  0.000  0.228  0.250 (multiplicity 4)
Nd  0.000  0.479  0.750 (multiplicity 4)
Nd  0.248  0.371  0.246 (multiplicity 8)
Ho  0.000  0.272  0.750 (multiplicity 4)
Ho  0.153  0.374  0.557 (multiplicity 8)

5.
Below is an optimized crystal structure of TbNd2Ho, with properties calculated at the PBE level.

Summary:
- ΔH_f (0 K) (kJ/mol of formula units) = 43
- crystal system = orthorhombic
- ΔE to the lowest computed polymorph (meV per atom) = 99
- DFT total energy (eV per atom) = -4.58

abc: 3.747 5.951 12.032
angles: 90.00 90.00 90.00
Space group Imm2 (No. 44)
Asymmetric unit:
Tb  0.000  0.000  0.000 (multiplicity 2)
Nd  0.000  0.000  0.516 (multiplicity 2)
Nd  0.000  0.500  0.752 (multiplicity 2)
Ho  0.000  0.500  0.262 (multiplicity 2)

6.
Below is an optimized crystal structure of Tb2Nd6Ho, with properties calculated at the PBE level.

Summary:
- ΔH_f (0 K) (kJ/mol of formula units) = 112
- crystal system = orthorhombic
- ΔE to the lowest computed polymorph (meV per atom) = 0
- DFT total energy (eV per atom) = -4.59

abc: 9.453 17.794 3.667
angles: 90.00 90.00 90.00
Space group Cmmm (No. 65)
Asymmetric unit:
Tb  0.000  0.176  0.000 (multiplicity 4)
Nd  0.175  0.335  0.500 (multiplicity 8)
Nd  0.184  0.500  0.000 (multiplicity 4)
Ho  0.000  0.000  0.500 (multiplicity 2)

7.
Below is an optimized crystal structure of Tb10NdHo4, with properties calculated at the PBE level.

Summary:
- ΔH_f (0 K) (kJ/mol of formula units) = 1056
- crystal system = tetragonal
- DFT total energy (eV per atom) = -3.90

abc: 12.164 12.164 7.691
angles: 90.00 90.00 90.00
Space group I4/m (No. 87)
Asymmetric unit:
Tb  0.000  0.500  0.250 (multiplicity 4)
Tb  0.101  0.202  0.248 (multiplicity 16)
Nd  0.000  0.000  0.500 (multiplicity 2)
Ho  0.100  0.700  0.000 (multiplicity 8)

8.
Below is an optimized crystal structure of Tb2NdHo9, with properties calculated at the PBE level.

Summary:
- ΔH_f (0 K) (kJ/mol of formula units) = 25
- crystal system = tetragonal
- ΔE to the lowest computed polymorph (meV per atom) = 0
- DFT total energy (eV per atom) = -4.58

abc: 5.010 5.010 15.029
angles: 90.00 90.00 90.00
Space group P4/mmm (No. 123)
Asymmetric unit:
Tb  0.000  0.000  0.166 (multiplicity 2)
Nd  0.000  0.000  0.500 (multiplicity 1)
Ho  0.000  0.500  0.000 (multiplicity 2)
Ho  0.000  0.500  0.332 (multiplicity 4)
Ho  0.500  0.500  0.165 (multiplicity 2)
Ho  0.500  0.500  0.500 (multiplicity 1)

9.
Below is an optimized crystal structure of Tb8NdHo4, with properties calculated at the PBE level.

Summary:
- ΔH_f (0 K) (kJ/mol of formula units) = 241
- crystal system = trigonal
- DFT total energy (eV per atom) = -4.43

abc: 7.2944 7.2944 27.2613
angles: 90.00 90.00 120.00
Space group R-3m (No. 166, hexagonal axes)
Asymmetric unit:
Tb  0.0000  0.0000  0.2179 (multiplicity 6)
Tb  0.0361  0.5181  0.7675 (multiplicity 18)
Nd  0.0000  0.0000  0.5000 (multiplicity 3)
Ho  0.0000  0.0000  0.0000 (multiplicity 3)
Ho  0.0000  0.5000  0.0000 (multiplicity 9)

10.
Below is an optimized crystal structure of TbNd6Ho12, with properties calculated at the PBE level.

Summary:
- ΔH_f (0 K) (kJ/mol of formula units) = 226
- crystal system = trigonal
- ΔE to the lowest computed polymorph (meV per atom) = 0
- DFT total energy (eV per atom) = -4.52

abc: 11.1020 11.1020 17.5081
angles: 90.00 90.00 120.00
Space group R-3m (No. 166, hexagonal axes)
Asymmetric unit:
Tb  0.0000  0.0000  0.0000 (multiplicity 3)
Nd  0.0695  0.5348  0.7666 (multiplicity 18)
Ho  0.1016  0.5508  0.4137 (multiplicity 18)
Ho  0.1061  0.2121  0.4082 (multiplicity 18)

11.
Below is an optimized crystal structure of TbNd2Ho12, with properties calculated at the PBE level.

Summary:
- ΔH_f (0 K) (kJ/mol of formula units) = 165
- crystal system = monoclinic
- DFT total energy (eV per atom) = -4.49

abc: 7.071 11.175 24.388
angles: 90.00 94.15 90.00
Space group C2/m (No. 12)
Asymmetric unit:
Tb  0.250  0.000  0.000 (multiplicity 4)
Nd  0.066  0.000  0.272 (multiplicity 4)
Nd  0.068  0.500  0.272 (multiplicity 4)
Ho  0.017  0.250  0.074 (multiplicity 8)
Ho  0.112  0.251  0.445 (multiplicity 8)
Ho  0.142  0.000  0.572 (multiplicity 4)
Ho  0.143  0.500  0.571 (multiplicity 4)
Ho  0.168  0.251  0.669 (multiplicity 8)
Ho  0.201  0.250  0.800 (multiplicity 8)
Ho  0.218  0.000  0.865 (multiplicity 4)
Ho  0.218  0.500  0.864 (multiplicity 4)

12.
Below is an optimized crystal structure of Tb8Nd3Ho3, with properties calculated at the PBE level.

Summary:
- ΔH_f (0 K) (kJ/mol of formula units) = 141
- crystal system = orthorhombic
- DFT total energy (eV per atom) = -4.54

abc: 5.669 10.834 15.045
angles: 90.00 90.00 90.00
Space group Immm (No. 71)
Asymmetric unit:
Tb  0.000  0.159  0.103 (multiplicity 8)
Tb  0.000  0.340  0.279 (multiplicity 8)
Nd  0.000  0.000  0.318 (multiplicity 4)
Nd  0.000  0.500  0.000 (multiplicity 2)
Ho  0.000  0.204  0.500 (multiplicity 4)
Ho  0.000  0.500  0.500 (multiplicity 2)

13.
Below is an optimized crystal structure of Tb3NdHo5, with properties calculated at the PBE level.

Summary:
- ΔH_f (0 K) (kJ/mol of formula units) = 358
- crystal system = monoclinic
- ΔE to the lowest computed polymorph (meV per atom) = 238
- DFT total energy (eV per atom) = -4.20

abc: 16.774 7.982 12.257
angles: 90.00 130.86 90.00
Space group C2/m (No. 12)
Asymmetric unit:
Tb  0.000  0.000  0.000 (multiplicity 2)
Tb  0.000  0.500  0.500 (multiplicity 2)
Tb  0.118  0.000  0.812 (multiplicity 4)
Tb  0.176  0.500  0.843 (multiplicity 4)
Nd  0.237  0.500  0.630 (multiplicity 4)
Ho  0.000  0.180  0.500 (multiplicity 4)
Ho  0.064  0.296  0.280 (multiplicity 8)
Ho  0.124  0.500  0.067 (multiplicity 4)
Ho  0.200  0.000  0.570 (multiplicity 4)

14.
Below is an optimized crystal structure of TbNd6Ho4, with properties calculated at the PBE level.

Summary:
- ΔH_f (0 K) (kJ/mol of formula units) = 321
- crystal system = tetragonal
- DFT total energy (eV per atom) = -4.38

abc: 6.745 6.745 16.821
angles: 90.00 90.00 90.00
Space group I-42m (No. 121)
Asymmetric unit:
Tb  0.000  0.000  0.000 (multiplicity 2)
Nd  0.000  0.500  0.000 (multiplicity 4)
Nd  0.191  0.191  0.177 (multiplicity 8)
Ho  0.178  0.178  0.379 (multiplicity 8)

15.
Below is an optimized crystal structure of TbNd4Ho6, with properties calculated at the PBE level.

Summary:
- ΔH_f (0 K) (kJ/mol of formula units) = 317
- crystal system = tetragonal
- ΔE to the lowest computed polymorph (meV per atom) = 131
- DFT total energy (eV per atom) = -4.35

abc: 6.662 6.662 16.987
angles: 90.00 90.00 90.00
Space group I-42m (No. 121)
Asymmetric unit:
Tb  0.000  0.000  0.000 (multiplicity 2)
Nd  0.190  0.190  0.824 (multiplicity 8)
Ho  0.000  0.500  0.000 (multiplicity 4)
Ho  0.178  0.178  0.624 (multiplicity 8)

16.
Below is an optimized crystal structure of TbNd10Ho6, with properties calculated at the PBE level.

Summary:
- ΔH_f (0 K) (kJ/mol of formula units) = 210
- crystal system = trigonal
- DFT total energy (eV per atom) = -4.56

abc: 9.8418 9.8418 6.9148
angles: 90.00 90.00 120.00
Space group P-31m (No. 162)
Asymmetric unit:
Tb  0.0000  0.0000  0.0000 (multiplicity 1)
Nd  0.0000  0.2752  0.6832 (multiplicity 6)
Nd  0.3333  0.6667  0.0000 (multiplicity 2)
Nd  0.3333  0.6667  0.5000 (multiplicity 2)
Ho  0.0000  0.3699  0.1898 (multiplicity 6)

17.
Below is an optimized crystal structure of Tb12NdHo6, with properties calculated at the PBE level.

Summary:
- ΔH_f (0 K) (kJ/mol of formula units) = 279
- crystal system = trigonal
- ΔE to the lowest computed polymorph (meV per atom) = 0
- DFT total energy (eV per atom) = -4.47

abc: 11.9120 11.9120 15.1235
angles: 90.00 90.00 120.00
Space group R-3 (No. 148, hexagonal axes)
Asymmetric unit:
Tb  0.0139  0.8340  0.1916 (multiplicity 18)
Tb  0.0421  0.8506  0.4162 (multiplicity 18)
Nd  0.0000  0.0000  0.0000 (multiplicity 3)
Ho  0.0097  0.4231  0.6811 (multiplicity 18)

18.
Below is an optimized crystal structure of Tb5Nd3Ho, with properties calculated at the PBE level.

Summary:
- ΔH_f (0 K) (kJ/mol of formula units) = 447
- crystal system = monoclinic
- ΔE to the lowest computed polymorph (meV per atom) = 220
- DFT total energy (eV per atom) = -4.16

abc: 15.343 11.462 9.972
angles: 90.00 130.20 90.00
Space group C2/m (No. 12)
Asymmetric unit:
Tb  0.000  0.244  0.000 (multiplicity 4)
Tb  0.156  0.249  0.749 (multiplicity 8)
Tb  0.221  0.000  0.227 (multiplicity 4)
Tb  0.223  0.500  0.040 (multiplicity 4)
Nd  0.000  0.000  0.500 (multiplicity 2)
Nd  0.000  0.500  0.000 (multiplicity 2)
Nd  0.007  0.000  0.812 (multiplicity 4)
Nd  0.020  0.500  0.358 (multiplicity 4)
Ho  0.248  0.500  0.401 (multiplicity 4)